The following is a PBE calculation of a relaxed structure of TiInSiCl2, from the Alexandria database.

The space group is P4/mmm (No. 123) and the conventional cell measures 4.9475, 4.9475 and 6.0506 Å, with angles of 90.00, 90.00 and 90.00 degrees. The distinct sites, in fractional coordinates, are Ti at (0.0000, 0.0000, 0.0000), In at (0.0000, 0.0000, 0.5000), Si at (0.5000, 0.5000, 0.0000) and Cl at (0.0000, 0.5000, 0.5000).

The formation energy from raw total energies comes out at 724 meV per atom. The total energy comes out at -16.1 eV per cell.



The following is a PBE calculation of a relaxed structure of La2NdY9, from the Alexandria database.

The space group is P4/mmm (No. 123) and the conventional cell measures 5.1081, 5.1081 and 15.3410 Å, with angles of 90.00, 90.00 and 90.00 degrees. The distinct sites, in fractional coordinates, are La at (0.0000, 0.0000, 0.1664), Nd at (0.0000, 0.0000, 0.5000), Y at (0.0000, 0.5000, 0.0000), Y at (0.0000, 0.5000, 0.3352), Y at (0.5000, 0.5000, 0.1677) and Y at (0.5000, 0.5000, 0.5000).

The total energy comes out at -72.5 eV per cell. As for the formation energy from the elements: 0.0289 eV per atom.



The following is a PBE calculation of a relaxed structure of TbCu2F8, from the Alexandria database.

The space group is P-1 (No. 2) and the conventional cell measures 3.9007, 6.6853 and 6.6898 Å, with angles of 119.96, 90.00 and 90.00 degrees. The distinct sites, in fractional coordinates, are Tb at (0.0000, 0.0000, 0.0000), Cu at (0.2661, 0.3333, 0.6664), F at (0.2333, 0.6667, 0.3335), F at (0.2669, 0.1672, 0.8314), F at (0.2669, 0.1685, 0.3356) and F at (0.2670, 0.6643, 0.8331).

The formation energy from raw total energies comes out at -2244 meV per atom. The total energy comes out at -52.5 eV per cell.



Number 1: spin magnetization 0.97 μB per formula unit. Number 2: spin magnetization 0.00 μB per formula unit. Number 3: spin magnetization 1.03 μB per formula unit.